This record from Alexandria describes a relaxed structure of SrSF3. The functional is PBE. Values from VASP.

Structure (Quantum ESPRESSO input):
```
&SYSTEM
  ibrav = 0, nat = 5, ntyp = 3
/
ATOMIC_SPECIES
Sr 87.62 Sr.upf
S 32.06 S.upf
F 19.00 F.upf
ATOMIC_POSITIONS crystal
Sr 0.000 0.000 0.000
S 0.500 0.500 0.500
F 0.000 0.500 0.000
F 0.000 0.000 0.500
F 0.500 0.000 0.000
CELL_PARAMETERS angstrom
-3.021 -2.773 2.402
3.592 -2.869 1.206
0.747 2.582 3.919
```

Values from the calculation:
Size of the total moment (μB/cell): 3.00
Relative energy among the computed polymorphs (meV per atom): 0
Energy relative to the elements, uncorrected (kJ per mole of atoms): -182.88
N(E_F) (states/eV/cell): 0.00
Space group: No. 221
Electronic total energy (eV per atom): -4.1800


This record from Alexandria describes a relaxed structure of CsCr2Se2. The functional is PBE. Values from VASP.

Structure (Quantum ESPRESSO input):
```
&SYSTEM
  ibrav = 0, nat = 5, ntyp = 3
/
ATOMIC_SPECIES
Cs 132.91 Cs.upf
Cr 52.00 Cr.upf
Se 78.96 Se.upf
ATOMIC_POSITIONS crystal
Cs 0.000 0.000 0.000
Cr 0.396 0.396 0.208
Cr 0.604 0.604 0.792
Se 0.750 0.250 0.500
Se 0.250 0.750 0.500
CELL_PARAMETERS angstrom
5.087 0.000 0.000
0.000 5.087 0.000
2.543 2.543 4.261
```

Values from the calculation:
Size of the total moment (μB/cell): 0.00
Relative energy among the computed polymorphs (meV per atom): 478
Energy relative to the elements, uncorrected (kJ per mole of atoms): 4.44
N(E_F) (states/eV/cell): 2.89
Space group: No. 139
Electronic total energy (eV per atom): -5.3679


This record from Alexandria describes a relaxed structure of K3RbBi. The functional is PBE. Values from VASP.

Structure (Quantum ESPRESSO input):
```
&SYSTEM
  ibrav = 0, nat = 20, ntyp = 3
/
ATOMIC_SPECIES
K 39.10 K.upf
Rb 85.47 Rb.upf
Bi 208.98 Bi.upf
ATOMIC_POSITIONS crystal
K 0.590 0.648 0.024
K 0.910 0.976 0.352
K 0.410 0.352 0.976
K 0.090 0.024 0.648
K 0.888 0.342 0.891
K 0.612 0.109 0.658
K 0.112 0.658 0.109
K 0.388 0.891 0.342
K 0.410 0.710 0.637
K 0.090 0.363 0.290
K 0.590 0.290 0.363
K 0.910 0.637 0.710
Rb 0.250 0.000 0.000
Rb 0.750 0.000 0.000
Rb 0.250 0.398 0.602
Rb 0.750 0.602 0.398
Bi 0.616 0.445 0.712
Bi 0.884 0.288 0.555
Bi 0.384 0.555 0.288
Bi 0.116 0.712 0.445
CELL_PARAMETERS angstrom
-6.849 3.100 6.258
-8.398 -4.813 -5.514
2.250 -7.806 7.622
```

Values from the calculation:
Size of the total moment (μB/cell): 0.00
Relative energy among the computed polymorphs (meV per atom): 0
N(E_F) (states/eV/cell): 9.41
Space group: No. 15
Formation enthalpy at 0 K (eV/atom): -0.19
Electronic total energy (eV per atom): -1.8145